A relaxed La12PrCd6 crystal, computed with PBE.

Output
**DFT total energy**: -3.7856 eV/atom
**Formation energy**: -133 meV/atom
**Space-group type**: R-3, No. 148

Cell and atoms, written as POSCAR:
```
La12PrCd6
1.0
-2.1138 4.7222 -6.7174
-8.1067 -2.3980 0.6494
-1.7399 6.6292 4.9918
La Cd Pr
12 6 1
Cartesian
-8.4434 3.6401 0.3021
-6.0502 6.8902 0.7437
-10.4620 6.1799 0.7385
-8.3682 8.8257 -0.5199
-6.8160 5.4216 -2.9633
-5.9102 2.0631 -1.8199
-9.9018 6.5024 -2.8041
-1.4985 2.7733 -1.8148
-3.5923 0.1276 -0.5564
-2.0586 2.4509 1.7278
-3.5171 5.3132 -1.3784
-5.1444 3.5317 1.8871
-6.7393 0.5095 1.0162
-2.7950 5.8995 2.0232
-5.2212 8.4438 -2.0925
-3.9105 3.6554 -4.2492
-9.1654 3.0537 -3.0994
-8.0499 5.2979 3.1730
0.0000 0.0000 0.0000
```